A geometry-optimized MgReIr structure. Source: Alexandria via LeMat-Bulk, functional PBE.

a b c (Å): 2.8118 5.1433 7.0494
angles (deg): 105.48 90.71 102.42
Fractional coordinates of all 6 atoms:
Mg1 0.1625 0.3302 0.1185
Mg2 0.8375 0.6698 0.8815
Re1 0.0821 0.2768 0.5148
Re2 0.9179 0.7232 0.4852
Ir1 0.4605 0.9121 0.2283
Ir2 0.5395 0.0879 0.7717

Summary:
* E above lowest polymorph: 93 meV/atom
* symmetry: P-1 (2)
* N(E_F): 1.84 states/eV/f.u.
* formation energy: -7.8 kJ/mol of atoms